Material: NdAgPbBr6
Method: DFT, GGA-PBE
State: relaxed

Cell: 7.3112 7.3112 13.5797 Å, 90.00 90.00 120.00°
Space group P-31c (No. 163)
One atom of each set of equivalent atoms:
Nd  0.3333  0.6667  0.2500 [2 per cell]
Ag  0.3333  0.6667  0.7500 [2 per cell]
Pb  0.0000  0.0000  0.0000 [2 per cell]
Br  0.0009  0.3473  0.6274 [12 per cell]

Summary:
Crystal system = trigonal
DOS at the Fermi energy = 0.00 states/eV/cell
Formation energy (no corrections) = -1.19 eV/atom
E_tot = -3.561 eV per atom

***

Material: PmNdAgBr
Method: DFT, GGA-PBE
State: relaxed

Cell: 7.517 7.517 7.517 Å, 90.00 90.00 90.00°
Space group F-43m (No. 216)
One atom of each set of equivalent atoms:
Pm  0.000  0.000  0.000 [4 per cell]
Nd  0.000  0.000  0.500 [4 per cell]
Ag  0.250  0.250  0.250 [4 per cell]
Br  0.250  0.250  0.750 [4 per cell]

Summary:
Crystal system = cubic
DOS at the Fermi energy = 22.82 states/eV/cell
Formation energy (no corrections) = -0.48 eV/atom
E_tot = -3.995 eV per atom

***

Material: PrNdAgBr
Method: DFT, GGA-PBE
State: relaxed

Cell: 7.561 7.561 7.561 Å, 90.00 90.00 90.00°
Space group F-43m (No. 216)
One atom of each set of equivalent atoms:
Pr  0.000  0.000  0.000 [4 per cell]
Nd  0.000  0.000  0.500 [4 per cell]
Ag  0.250  0.250  0.250 [4 per cell]
Br  0.250  0.250  0.750 [4 per cell]

Summary:
Crystal system = cubic
DOS at the Fermi energy = 21.72 states/eV/cell
Formation energy (no corrections) = -0.50 eV/atom
E_tot = -4.019 eV per atom

***

Material: Rb2NdAgBr6
Method: DFT, GGA-PBE
State: relaxed

Cell: 11.484 11.484 11.484 Å, 90.00 90.00 90.00°
Space group Fm-3m (No. 225)
One atom of each set of equivalent atoms:
Rb  0.250  0.250  0.250 [8 per cell]
Nd  0.000  0.000  0.000 [4 per cell]
Ag  0.000  0.000  0.500 [4 per cell]
Br  0.000  0.000  0.251 [24 per cell]

Summary:
Crystal system = cubic
DOS at the Fermi energy = 0.00 states/eV/cell
Formation energy (no corrections) = -1.51 eV/atom
Excess energy over the best structure of this formula in the dataset = 25 meV/atom
E_tot = -3.471 eV per atom

***

Material: RbNdAg2Br8
Method: DFT, GGA-PBE
State: relaxed

Cell: 7.238 7.238 15.745 Å, 90.00 90.00 90.00°
Space group I-4 (No. 82)
One atom of each set of equivalent atoms:
Rb  0.000  0.000  0.000 [2 per cell]
Nd  0.000  0.500  0.250 [2 per cell]
Ag  0.000  0.000  0.500 [2 per cell]
Ag  0.000  0.500  0.750 [2 per cell]
Br  0.129  0.288  0.409 [8 per cell]
Br  0.171  0.790  0.810 [8 per cell]

Summary:
Crystal system = tetragonal
DOS at the Fermi energy = 29.53 states/eV/cell
Formation energy (no corrections) = -0.94 eV/atom
E_tot = -3.009 eV per atom

***

Material: Rb3NdAg2Br9
Method: DFT, GGA-PBE
State: relaxed

Cell: 7.9355 7.9355 9.9080 Å, 90.00 90.00 120.00°
Space group P-3m1 (No. 164)
One atom of each set of equivalent atoms:
Rb  0.0000  0.0000  0.0000 [1 per cell]
Rb  0.3333  0.6667  0.7043 [2 per cell]
Nd  0.0000  0.0000  0.5000 [1 per cell]
Ag  0.3333  0.6667  0.1519 [2 per cell]
Br  0.0000  0.5000  0.0000 [3 per cell]
Br  0.1691  0.3382  0.3293 [6 per cell]

Summary:
Crystal system = trigonal
DOS at the Fermi energy = 7.15 states/eV/cell
Formation energy (no corrections) = -1.29 eV/atom
E_tot = -3.180 eV per atom

***

Material: RbNdAgBr6
Method: DFT, GGA-PBE
State: relaxed

Cell: 7.4001 7.4001 15.2468 Å, 90.00 90.00 120.00°
Space group P-31c (No. 163)
One atom of each set of equivalent atoms:
Rb  0.0000  0.0000  0.0000 [2 per cell]
Nd  0.3333  0.6667  0.2500 [2 per cell]
Ag  0.3333  0.6667  0.7500 [2 per cell]
Br  0.0108  0.3854  0.6400 [12 per cell]

Summary:
Crystal system = trigonal
DOS at the Fermi energy = 16.24 states/eV/cell
Formation energy (no corrections) = -1.27 eV/atom
E_tot = -3.336 eV per atom

***

Material: Rb2NdAg2Br6
Method: DFT, GGA-PBE
State: relaxed

Cell: 13.481 8.423 8.886 Å, 90.00 119.77 90.00°
Space group C2/m (No. 12)
One atom of each set of equivalent atoms:
Rb  0.216  0.000  0.159 [4 per cell]
Nd  0.000  0.000  0.500 [2 per cell]
Ag  0.049  0.500  0.176 [4 per cell]
Br  0.066  0.235  0.776 [8 per cell]
Br  0.231  0.000  0.556 [4 per cell]

Summary:
Crystal system = monoclinic
DOS at the Fermi energy = 4.39 states/eV/cell
Formation energy (no corrections) = -1.24 eV/atom
E_tot = -3.276 eV per atom

***

Material: Rb2NdAgBr6
Method: DFT, GGA-PBE
State: relaxed

Cell: 7.934 8.234 13.641 Å, 90.00 125.18 90.00°
Space group P2_1/c (No. 14)
One atom of each set of equivalent atoms:
Rb  0.229  0.066  0.249 [4 per cell]
Nd  0.500  0.000  0.000 [2 per cell]
Ag  0.000  0.000  0.500 [2 per cell]
Br  0.162  0.201  0.956 [4 per cell]
Br  0.259  0.709  0.958 [4 per cell]
Br  0.331  0.017  0.746 [4 per cell]

Summary:
Crystal system = monoclinic
DOS at the Fermi energy = 0.00 states/eV/cell
Formation energy (no corrections) = -1.54 eV/atom
Excess energy over the best structure of this formula in the dataset = 0 meV/atom
E_tot = -3.495 eV per atom

***

Material: RbNdAgBr5
Method: DFT, GGA-PBE
State: relaxed

Cell: 9.521 13.229 10.963 Å, 90.00 111.97 90.00°
Space group C2/c (No. 15)
One atom of each set of equivalent atoms:
Rb  0.000  0.152  0.250 [4 per cell]
Nd  0.000  0.500  0.000 [4 per cell]
Ag  0.000  0.189  0.750 [4 per cell]
Br  0.000  0.421  0.250 [4 per cell]
Br  0.111  0.300  0.600 [8 per cell]
Br  0.188  0.060  0.937 [8 per cell]

Summary:
Crystal system = monoclinic
DOS at the Fermi energy = 0.00 states/eV/cell
Formation energy (no corrections) = -1.47 eV/atom
E_tot = -3.585 eV per atom

***

Material: Nd6AgRh2Br3
Method: DFT, GGA-PBE
State: relaxed

Cell: 7.278 12.615 8.170 Å, 90.00 107.21 90.00°
Space group C2/m (No. 12)
One atom of each set of equivalent atoms:
Nd  0.211  0.000  0.200 [4 per cell]
Nd  0.245  0.322  0.201 [8 per cell]
Ag  0.000  0.500  0.000 [2 per cell]
Rh  0.000  0.167  0.000 [4 per cell]
Br  0.000  0.000  0.500 [2 per cell]
Br  0.000  0.333  0.500 [4 per cell]

Summary:
Crystal system = monoclinic
DOS at the Fermi energy = 16.87 states/eV/cell
Formation energy (no corrections) = -0.93 eV/atom
E_tot = -5.195 eV per atom

***

Material: NdAgSnBr6
Method: DFT, GGA-PBE
State: relaxed

Cell: 7.2691 7.2691 13.4578 Å, 90.00 90.00 120.00°
Space group P-31c (No. 163)
One atom of each set of equivalent atoms:
Nd  0.3333  0.6667  0.2500 [2 per cell]
Ag  0.3333  0.6667  0.7500 [2 per cell]
Sn  0.0000  0.0000  0.0000 [2 per cell]
Br  0.0013  0.3437  0.6262 [12 per cell]

Summary:
Crystal system = trigonal
DOS at the Fermi energy = 0.00 states/eV/cell
Formation energy (no corrections) = -1.13 eV/atom
E_tot = -3.540 eV per atom

***

What is the DOS at the Fermi energy in the eighth record?
4.39 states/eV/cell